# LaZnAs2

LaZnAs2 after structural relaxation (PBE, the Alexandria database).

Cell: 5.6482 5.6482 5.6482 Å, 47.63 47.63 47.63°
Last column: nearest neighbours and their distance in Å.
Atoms (fractional coordinates):
1 La 0.0000 0.0000 0.0000  8 As 3.14-3.29
2 Zn 0.5000 0.5000 0.5000  6 As 2.75
3 As 0.2192 0.2192 0.2192  3 Zn 2.75, 3 As 3.07
4 As 0.7808 0.7808 0.7808  3 Zn 2.75, 3 As 3.07

Computed properties:
DOS(E_F) = 0.748 states/eV/atom
Formation energy = -2.42 eV per formula unit
SG = No. 166
Calculated density = 6.5 g/cm3